Record 1
! GdMgBeZn (PBE-GGA, optimized geometry); values from VASP
! **Symmetry**: F-43m (216)
&SYSTEM
  ibrav = 0, nat = 4, ntyp = 4
/
ATOMIC_SPECIES
Gd 157.25 Gd.upf
Mg 24.30 Mg.upf
Be 9.01 Be.upf
Zn 65.41 Zn.upf
ATOMIC_POSITIONS angstrom
Gd 0.000 0.000 0.000
Mg 3.349 3.349 3.349
Be 5.023 5.023 5.023
Zn 1.674 1.674 1.674
CELL_PARAMETERS angstrom
0.000 3.349 3.349
3.349 0.000 3.349
3.349 3.349 0.000

***

Record 2
! NdGd2Be (PBE-GGA, optimized geometry); values from VASP
! **Symmetry**: P4/mmm (123)
! **Energy above the lowest structure with this stoichiometry**: 0.000 eV/atom
&SYSTEM
  ibrav = 0, nat = 4, ntyp = 3
/
ATOMIC_SPECIES
Nd 144.24 Nd.upf
Gd 157.25 Gd.upf
Be 9.01 Be.upf
ATOMIC_POSITIONS angstrom
Nd 0.000 0.000 0.000
Gd 1.756 1.756 2.730
Gd 1.756 1.756 6.020
Be 0.000 0.000 4.375
CELL_PARAMETERS angstrom
3.512 0.000 0.000
0.000 3.512 0.000
0.000 0.000 8.749

***

Record 3
! Nd2GdBe (PBE-GGA, optimized geometry); values from VASP
! **Symmetry**: P4/mmm (123)
! **Energy above the lowest structure with this stoichiometry**: 0.000 eV/atom
&SYSTEM
  ibrav = 0, nat = 4, ntyp = 3
/
ATOMIC_SPECIES
Nd 144.24 Nd.upf
Gd 157.25 Gd.upf
Be 9.01 Be.upf
ATOMIC_POSITIONS angstrom
Nd 0.000 0.000 1.699
Nd 0.000 0.000 7.005
Gd 1.794 1.794 4.352
Be 1.794 1.794 0.000
CELL_PARAMETERS angstrom
3.589 0.000 0.000
0.000 3.589 0.000
0.000 0.000 8.704

***

Record 4
! NdGd2Be (PBE-GGA, optimized geometry); values from VASP
! **Symmetry**: R-3m (166)
! **Energy above the lowest structure with this stoichiometry**: 0.623 eV/atom
&SYSTEM
  ibrav = 0, nat = 4, ntyp = 3
/
ATOMIC_SPECIES
Nd 144.24 Nd.upf
Gd 157.25 Gd.upf
Be 9.01 Be.upf
ATOMIC_POSITIONS angstrom
Nd 0.000 0.000 0.000
Gd 0.000 0.000 14.470
Gd 0.000 0.000 20.211
Be 0.000 0.000 17.341
CELL_PARAMETERS angstrom
1.743 1.006 11.561
-1.743 1.006 11.561
0.000 -2.012 11.561

***

Record 5
! Nd2GdBe (PBE-GGA, optimized geometry); values from VASP
! **Symmetry**: R-3m (166)
! **Energy above the lowest structure with this stoichiometry**: 0.566 eV/atom
&SYSTEM
  ibrav = 0, nat = 4, ntyp = 3
/
ATOMIC_SPECIES
Nd 144.24 Nd.upf
Gd 157.25 Gd.upf
Be 9.01 Be.upf
ATOMIC_POSITIONS angstrom
Nd 0.000 0.000 2.940
Nd 0.000 0.000 32.100
Gd 0.000 0.000 17.520
Be 0.000 0.000 0.000
CELL_PARAMETERS angstrom
1.749 1.010 11.680
-1.749 1.010 11.680
0.000 -2.020 11.680

***

Record 6
! NdGdBe (PBE-GGA, optimized geometry); values from VASP
! **Symmetry**: I4mm (107)
&SYSTEM
  ibrav = 0, nat = 3, ntyp = 3
/
ATOMIC_SPECIES
Nd 144.24 Nd.upf
Gd 157.25 Gd.upf
Be 9.01 Be.upf
ATOMIC_POSITIONS angstrom
Nd 0.000 0.000 0.000
Gd 0.000 0.000 3.307
Be 0.000 0.000 7.810
CELL_PARAMETERS angstrom
-1.776 1.776 6.077
1.776 -1.776 6.077
1.776 1.776 -6.077

***

no.,formation enthalpy at 0 K (eV/atom),total moment (Bohr magnetons per cell)
1,-0.090,7.03
2,0.077,14.43
3,0.122,7.67
4,0.699,15.15
5,0.688,7.16
6,0.121,7.49